one) PBE-GGA TcP2, optimized geometry; space group = No. 63
1.0
1.533 -5.802 0.000
1.533 5.802 0.000
0.000 0.000 4.480
Tc P
2 4
Direct
0.111 0.889 0.750 Tc
0.889 0.111 0.250 Tc
0.566 0.434 0.250 P
0.778 0.222 0.750 P
0.222 0.778 0.250 P
0.434 0.566 0.750 P



two) PBE-GGA TcP2, optimized geometry; space group = No. 191
1.0
4.047 0.000 0.000
-2.024 3.505 0.000
0.000 0.000 2.878
P Tc
2 1
Direct
0.333 0.667 0.500 P
0.667 0.333 0.500 P
0.000 0.000 0.000 Tc



three) PBE-GGA TcP2, optimized geometry; space group = No. 189
1.0
3.422 -5.927 0.000
3.422 5.927 0.000
0.000 0.000 3.024
P Tc
6 3
Direct
0.000 0.285 0.000 P
0.285 0.000 0.000 P
0.614 0.000 0.500 P
0.000 0.614 0.500 P
0.386 0.386 0.500 P
0.715 0.715 0.000 P
0.333 0.667 0.000 Tc
0.667 0.333 0.000 Tc
0.000 0.000 0.500 Tc



four) PBE-GGA TcP2, optimized geometry; space group = No. 164
1.0
3.064 0.000 0.000
-1.532 2.653 0.000
0.000 0.000 5.118
Tc P
1 2
Direct
0.000 0.000 0.000 Tc
0.333 0.667 0.329 P
0.667 0.333 0.671 P



Least stable = two)



one) PBE-GGA Tc3P2, optimized geometry; space group = No. 166
1.0
-5.639 -7.548 -2.106
-4.458 -7.152 -4.709
-3.082 -8.734 -2.726
Tc P
3 2
Direct
0.206 0.206 0.206 Tc
0.000 0.000 0.000 Tc
0.794 0.794 0.794 Tc
0.602 0.602 0.602 P
0.398 0.398 0.398 P



two) PBE-GGA Tc3P2, optimized geometry; space group = No. 43
1.0
-0.903 -7.507 -0.551
0.114 -4.233 4.190
-4.753 -3.063 -1.505
P Tc
4 6
Direct
0.330 0.090 0.772 P
0.160 0.920 0.442 P
0.478 0.442 0.920 P
0.808 0.772 0.090 P
0.365 0.135 0.135 Tc
0.438 0.381 0.372 Tc
0.878 0.441 0.812 Tc
0.809 0.372 0.381 Tc
0.115 0.885 0.885 Tc
0.869 0.812 0.441 Tc



Least stable = one)



one) PBE-GGA Tc3P2, optimized geometry; space group = No. 164
1.0
-3.014 -1.621 -1.870
2.438 -2.231 2.072
-3.143 0.705 4.456
Tc P
3 2
Direct
0.667 0.333 0.661 Tc
0.333 0.667 0.339 Tc
0.000 0.000 0.000 Tc
0.667 0.333 0.221 P
0.333 0.667 0.779 P



two) PBE-GGA Tc3P2, optimized geometry; space group = No. 62
1.0
-0.610 -0.298 2.918
-1.217 -9.873 -1.263
8.805 -1.303 1.706
Tc P
12 8
Direct
0.750 0.040 0.638 Tc
0.250 0.271 0.716 Tc
0.250 0.960 0.362 Tc
0.750 0.729 0.284 Tc
0.250 0.872 0.060 Tc
0.250 0.628 0.560 Tc
0.250 0.540 0.862 Tc
0.750 0.128 0.940 Tc
0.750 0.372 0.440 Tc
0.750 0.771 0.784 Tc
0.750 0.460 0.138 Tc
0.250 0.229 0.216 Tc
0.250 0.179 0.474 P
0.750 0.463 0.681 P
0.750 0.821 0.526 P
0.250 0.537 0.319 P
0.750 0.037 0.181 P
0.750 0.679 0.026 P
0.250 0.963 0.819 P
0.250 0.321 0.974 P



Least stable = one)